First-principles (GGA-PBE) data for a relaxed Ta4AsPN2 crystal, as listed in the Open Quantum Materials Database.

```
Ta4AsPN2
1.0
3.2630 0.0000 0.0000
-1.6315 2.8259 0.0000
0.0000 0.0000 11.8129
Ta As P N
4 1 1 2
Direct
0.0000 0.0000 0.1442
0.0000 0.0000 0.8558
0.3333 0.6667 0.3374
0.3333 0.6667 0.6626
0.0000 0.0000 0.5000
0.3333 0.6667 0.0000
0.6667 0.3333 0.2456
0.6667 0.3333 0.7544
```

Output
The value obtained for the energy is -79.4 eV/cell. The value obtained for the spin magnetization is 0.00 Bohr magnetons per cell.